Entry 1:
Computed, not measured: a geometry-optimized B7C5 structure at the PBE level of DFT.

a = 4.2346 Å, b = 4.5489 Å, c = 5.1870 Å
α = 109.86°, β = 103.14°, γ = 108.01°
Fractional positions:
B 0.7929 0.1184 0.4946
C 0.0360 0.7308 0.1219
B 0.3636 0.6677 0.0478
B 0.3814 0.3176 0.1495
C 0.9994 0.9972 0.9799
B 0.2673 0.4488 0.6491
B 0.6907 0.0618 0.0947
C 0.5234 0.2214 0.6316
B 0.1261 0.9229 0.4676
C 0.8728 0.8321 0.6430
C 0.5349 0.5178 0.4934
B 0.6615 0.4135 0.9769

formation energy: 0.401 eV per atom
excess energy over the best structure of this formula in the dataset: 237 meV per atom
volume: 6.914 A^3/atom
total moment: 0.00 μB per formula unit
DOS(E_F): 1.676 states/eV per cell



Entry 2:
Computed, not measured: a geometry-optimized B3C structure at the PBE level of DFT.

a = 4.5731 Å, b = 4.5731 Å, c = 7.2443 Å
α = 72.39°, β = 72.39°, γ = 35.04°
Fractional positions:
B 0.4786 0.4786 0.3331
C 0.9033 0.9033 0.2932
B 0.3606 0.3606 0.7890
B 0.9616 0.9616 0.5071
B 0.6364 0.6364 0.0974
B 0.2693 0.2693 0.3095
B 0.6485 0.6485 0.6514
B 0.4885 0.4885 0.9272
C 0.1375 0.1375 0.5200
B 0.2571 0.2571 0.0673
B 0.0427 0.0427 0.0518
C 0.8160 0.8160 0.7031

formation energy: 0.443 eV per atom
excess energy over the best structure of this formula in the dataset: 202 meV per atom
volume: 6.875 A^3/atom
total moment: 0.00 μB per formula unit
DOS(E_F): 1.471 states/eV per cell